w.
The following is a PBE-GGA calculation of a relaxed structure of K3HfRe, from Alexandria.

Unit cell a=6.5118 b=6.5118 c=6.5118 alpha=90.00 beta=90.00 gamma=90.00
Last column: magnetic moment on the atom in μB.
Fractional positions:
Hf1 0.0000 0.0000 0.0000  1.72
K1 0.0000 0.5000 0.0000  0.06
K2 0.0000 0.0000 0.5000  0.06
K3 0.5000 0.0000 0.0000  0.05
Re1 0.5000 0.5000 0.5000  3.84

Summary:
* space group: No. 221

***

x.
The following is a PBE-GGA calculation of a relaxed structure of K3HfRe, from Alexandria.

Unit cell a=5.9709 b=5.9709 c=5.9709 alpha=90.00 beta=90.00 gamma=90.00
Fractional positions:
Re1 0.0000 0.0000 0.0000
K1 0.0000 0.0000 0.5000
K2 0.0000 0.5000 0.0000
K3 0.5000 0.0000 0.0000
Hf1 0.5000 0.5000 0.5000

Summary:
* space group: No. 221

***

Decreasing stability: x, w

***

w.
The following is a PBE-GGA calculation of a relaxed structure of KHf2Rh, from Alexandria.

Unit cell a=4.8697 b=4.8697 c=4.8697 alpha=60.00 beta=60.00 gamma=60.00
Fractional positions:
Rh1 0.5000 0.5000 0.5000
Hf1 0.2500 0.2500 0.2500
Hf2 0.7500 0.7500 0.7500
K1 0.0000 0.0000 0.0000

Summary:
* space group: No. 225

***

x.
The following is a PBE-GGA calculation of a relaxed structure of KHf2Rh, from Alexandria.

Unit cell a=6.0035 b=6.0035 c=9.1899 alpha=70.94 beta=70.94 gamma=90.00
Fractional positions:
K1 0.2500 0.7500 0.5000
K2 0.5000 0.5000 0.0000
Hf1 0.8750 0.1253 0.7500
Hf2 0.8753 0.1250 0.2500
Hf3 0.8747 0.6250 0.2500
Hf4 0.3750 0.1247 0.7500
Rh1 0.0000 0.0000 0.0000
Rh2 0.7500 0.2500 0.5000

Summary:
* space group: No. 141

***

Decreasing stability: w, x